# 1
Pu2PbC: optimized geometry, PBE-GGA.

SG = No. 166
ΔH_f (0 K) = 0.34 eV/atom

a = 4.033 Å, b = 4.033 Å, c = 6.203 Å
α = 71.03°, β = 71.03°, γ = 60.00°
Each line ends with the local moment (μB).
Fractional positions:
Pb: 0.500 0.500 0.500  -0.02
C: 0.000 0.000 0.000  -0.02
Pu: 0.311 0.311 0.067  0.60
Pu: 0.689 0.689 0.933  0.60

=====

# 2
Ce3CdIr: optimized geometry, PBE-GGA.

SG = No. 11
ΔH_f (0 K) = -0.37 eV/atom

a = 3.706 Å, b = 8.280 Å, c = 8.310 Å
α = 97.99°, β = 90.00°, γ = 90.00°
Each line ends with the local moment (μB).
Fractional positions:
Ce: 0.750 0.543 0.160  0.47
Ce: 0.250 0.171 0.138  0.32
Ce: 0.750 0.943 0.369  0.30
Ce: 0.250 0.457 0.840  0.47
Ce: 0.250 0.057 0.631  0.30
Ce: 0.750 0.829 0.862  0.32
Cd: 0.750 0.348 0.487  0.00
Cd: 0.250 0.652 0.513  0.00
Ir: 0.250 0.797 0.106  -0.04
Ir: 0.750 0.203 0.894  -0.04